(1)
An optimized crystal structure of Na4Np3MnSe8, computed with GGA-PBE.

Output
The raw formation energy comes out at -1.0915 eV/atom. The total energy comes out at -0.4530 Ry per atom. The value obtained for the calculated volume is 410.7 Å³ per cell. Its space group is R-3m (166). As for the total magnetization: 16.00 μB/cell. The density of states at the Fermi level comes out at 30.76 states/eV/f.u.

The structure in CIF format:
```
data_Na4Np3MnSe8
_chemical_formula_sum 'Na4 Np3 Mn1 Se8'
_cell_length_a 8.433
_cell_length_b 8.433
_cell_length_c 8.433
_cell_angle_alpha 58.61
_cell_angle_beta 58.61
_cell_angle_gamma 58.61
_symmetry_space_group_name_H-M 'P 1'
_symmetry_Int_Tables_number 1
_symmetry_space_group_name_Hall 'P 1'
loop_
_atom_site_label
_atom_site_fract_x
_atom_site_fract_y
_atom_site_fract_z
Na1 0.000 0.000 0.000
Na2 0.000 0.500 0.500
Na3 0.500 0.000 0.500
Na4 0.500 0.500 0.000
Np1 0.000 0.000 0.500
Np2 0.000 0.500 0.000
Np3 0.500 0.000 0.000
Mn1 0.500 0.500 0.500
Se1 0.244 0.244 0.244
Se2 0.252 0.736 0.736
Se3 0.264 0.264 0.748
Se4 0.264 0.748 0.264
Se5 0.736 0.252 0.736
Se6 0.736 0.736 0.252
Se7 0.748 0.264 0.264
Se8 0.756 0.756 0.756
```



(2)
An optimized crystal structure of Y2AgAs2, computed with GGA-PBE.

Output
The energy relative to the lowest polymorph listed for this composition is 0.000 eV/f.u. The total energy comes out at -0.4390 Ry per atom. The value obtained for the calculated volume is 227.3 Å³ per cell. Its space group is P4/mbm (127). The formation energy from the elements comes out at -461.5 kJ/mol of formula units. As for the total magnetization: 0.00 μB/cell. The density of states at the Fermi level comes out at 3.36 states/eV/f.u.

The structure in CIF format:
```
data_Y2AgAs2
_chemical_formula_sum 'Y4 Ag2 As4'
_cell_length_a 7.681
_cell_length_b 7.681
_cell_length_c 3.852
_cell_angle_alpha 90.00
_cell_angle_beta 90.00
_cell_angle_gamma 90.00
_symmetry_space_group_name_H-M 'P 1'
_symmetry_Int_Tables_number 1
_symmetry_space_group_name_Hall 'P 1'
loop_
_atom_site_label
_atom_site_fract_x
_atom_site_fract_y
_atom_site_fract_z
Y1 0.157 0.343 0.000
Y2 0.343 0.843 0.000
Y3 0.657 0.157 0.000
Y4 0.843 0.657 0.000
Ag1 0.000 0.000 0.500
Ag2 0.500 0.500 0.500
As1 0.154 0.654 0.500
As2 0.346 0.154 0.500
As3 0.654 0.846 0.500
As4 0.846 0.346 0.500
```



(3)
An optimized crystal structure of Ag12Te5Cl3, computed with GGA-PBE.

Output
The raw formation energy comes out at -0.0381 eV/atom. The total energy comes out at -0.2066 Ry per atom. The value obtained for the calculated volume is 2159.1 Å³ per cell. Its space group is Ia-3d (230). As for the total magnetization: 0.00 μB/cell. The density of states at the Fermi level comes out at 11.10 states/eV/f.u.

The structure in CIF format:
```
data_Ag12Te5Cl3
_chemical_formula_sum 'Ag48 Te20 Cl12'
_cell_length_a 14.103
_cell_length_b 14.103
_cell_length_c 14.103
_cell_angle_alpha 109.47
_cell_angle_beta 109.47
_cell_angle_gamma 109.47
_symmetry_space_group_name_H-M 'P 1'
_symmetry_Int_Tables_number 1
_symmetry_space_group_name_Hall 'P 1'
loop_
_atom_site_label
_atom_site_fract_x
_atom_site_fract_y
_atom_site_fract_z
Ag1 0.056 0.612 0.379
Ag2 0.056 0.943 0.677
Ag3 0.057 0.234 0.112
Ag4 0.057 0.323 0.944
Ag5 0.112 0.057 0.234
Ag6 0.112 0.556 0.879
Ag7 0.121 0.734 0.677
Ag8 0.121 0.888 0.444
Ag9 0.177 0.234 0.621
Ag10 0.177 0.443 0.556
Ag11 0.234 0.112 0.057
Ag12 0.234 0.621 0.177
Ag13 0.266 0.323 0.879
Ag14 0.266 0.443 0.388
Ag15 0.323 0.879 0.266
Ag16 0.323 0.944 0.057
Ag17 0.379 0.056 0.612
Ag18 0.379 0.823 0.766
Ag19 0.388 0.266 0.443
Ag20 0.388 0.621 0.944
Ag21 0.443 0.388 0.266
Ag22 0.443 0.556 0.177
Ag23 0.444 0.121 0.888
Ag24 0.444 0.823 0.557
Ag25 0.556 0.177 0.443
Ag26 0.556 0.879 0.112
Ag27 0.557 0.444 0.823
Ag28 0.557 0.612 0.734
Ag29 0.612 0.379 0.056
Ag30 0.612 0.734 0.557
Ag31 0.621 0.177 0.234
Ag32 0.621 0.944 0.388
Ag33 0.677 0.056 0.943
Ag34 0.677 0.121 0.734
Ag35 0.734 0.557 0.612
Ag36 0.734 0.677 0.121
Ag37 0.766 0.379 0.823
Ag38 0.766 0.888 0.943
Ag39 0.823 0.557 0.444
Ag40 0.823 0.766 0.379
Ag41 0.879 0.112 0.556
Ag42 0.879 0.266 0.323
Ag43 0.888 0.444 0.121
Ag44 0.888 0.943 0.766
Ag45 0.943 0.677 0.056
Ag46 0.943 0.766 0.888
Ag47 0.944 0.057 0.323
Ag48 0.944 0.388 0.621
Te1 0.000 0.000 0.000
Te2 0.000 0.000 0.500
Te3 0.000 0.500 0.000
Te4 0.000 0.500 0.500
Te5 0.125 0.750 0.875
Te6 0.125 0.875 0.250
Te7 0.250 0.125 0.875
Te8 0.250 0.625 0.375
Te9 0.375 0.250 0.625
Te10 0.375 0.625 0.750
Te11 0.500 0.000 0.000
Te12 0.500 0.000 0.500
Te13 0.500 0.500 0.000
Te14 0.500 0.500 0.500
Te15 0.625 0.375 0.250
Te16 0.625 0.750 0.375
Te17 0.750 0.375 0.625
Te18 0.750 0.875 0.125
Te19 0.875 0.125 0.750
Te20 0.875 0.250 0.125
Cl1 0.125 0.250 0.375
Cl2 0.125 0.375 0.750
Cl3 0.250 0.375 0.125
Cl4 0.250 0.875 0.625
Cl5 0.375 0.125 0.250
Cl6 0.375 0.750 0.125
Cl7 0.625 0.250 0.875
Cl8 0.625 0.875 0.750
Cl9 0.750 0.125 0.375
Cl10 0.750 0.625 0.875
Cl11 0.875 0.625 0.250
Cl12 0.875 0.750 0.625
```



(4)
An optimized crystal structure of AsRh3O, computed with GGA-PBE.

Output
The raw formation energy comes out at 0.2299 eV/atom. The energy relative to the lowest polymorph listed for this composition is 0.000 eV/f.u. The total energy comes out at -0.4485 Ry per atom. The value obtained for the calculated volume is 71.9 Å³ per cell. Its space group is Pm-3m (221). As for the total magnetization: 1.68 μB/cell. The density of states at the Fermi level comes out at 5.04 states/eV/f.u.

The structure in CIF format:
```
data_AsRh3O
_chemical_formula_sum 'As1 Rh3 O1'
_cell_length_a 4.158
_cell_length_b 4.158
_cell_length_c 4.158
_cell_angle_alpha 90.00
_cell_angle_beta 90.00
_cell_angle_gamma 90.00
_symmetry_space_group_name_H-M 'P 1'
_symmetry_Int_Tables_number 1
_symmetry_space_group_name_Hall 'P 1'
loop_
_atom_site_label
_atom_site_fract_x
_atom_site_fract_y
_atom_site_fract_z
As1 0.000 0.000 0.000
Rh1 0.000 0.500 0.500
Rh2 0.500 0.000 0.500
Rh3 0.500 0.500 0.000
O1 0.500 0.500 0.500
```



(5)
An optimized crystal structure of Co3Ir, computed with GGA-PBE.

Output
The total energy comes out at -0.5508 Ry per atom. The value obtained for the calculated volume is 47.4 Å³ per cell. Its space group is Pm-3m (221). The formation energy from the elements comes out at 19.3 kJ/mol of formula units. As for the total magnetization: 4.69 μB/cell. The density of states at the Fermi level comes out at 6.52 states/eV/f.u.

The structure in CIF format:
```
data_Co3Ir
_chemical_formula_sum 'Co3 Ir1'
_cell_length_a 3.618
_cell_length_b 3.618
_cell_length_c 3.618
_cell_angle_alpha 90.00
_cell_angle_beta 90.00
_cell_angle_gamma 90.00
_symmetry_space_group_name_H-M 'P 1'
_symmetry_Int_Tables_number 1
_symmetry_space_group_name_Hall 'P 1'
loop_
_atom_site_label
_atom_site_fract_x
_atom_site_fract_y
_atom_site_fract_z
Co1 0.000 0.000 0.500
Co2 0.000 0.500 0.000
Co3 0.500 0.000 0.000
Ir1 0.500 0.500 0.500
```



(6)
An optimized crystal structure of NbCrPtBr2, computed with GGA-PBE.

Output
The raw formation energy comes out at 1.0086 eV/atom. The total energy comes out at -0.3533 Ry per atom. The value obtained for the calculated volume is 129.8 Å³ per cell. Its space group is P4/mmm (123). As for the total magnetization: 2.73 μB/cell. The density of states at the Fermi level comes out at 6.28 states/eV/f.u.

The structure in CIF format:
```
data_NbCrPtBr2
_chemical_formula_sum 'Nb1 Cr1 Pt1 Br2'
_cell_length_a 4.914
_cell_length_b 4.914
_cell_length_c 5.375
_cell_angle_alpha 90.00
_cell_angle_beta 90.00
_cell_angle_gamma 90.00
_symmetry_space_group_name_H-M 'P 1'
_symmetry_Int_Tables_number 1
_symmetry_space_group_name_Hall 'P 1'
loop_
_atom_site_label
_atom_site_fract_x
_atom_site_fract_y
_atom_site_fract_z
Nb1 0.000 0.000 0.000
Cr1 0.000 0.000 0.500
Pt1 0.500 0.500 0.500
Br1 0.000 0.500 0.000
Br2 0.500 0.000 0.000
```



(7)
An optimized crystal structure of LaPrNiAg, computed with GGA-PBE.

Output
The total energy comes out at -0.3506 Ry per atom. The value obtained for the calculated volume is 400.5 Å³ per cell. Its space group is F-43m (216). The formation energy from the elements comes out at -71.5 kJ/mol of formula units. As for the total magnetization: 0.00 μB/cell. The density of states at the Fermi level comes out at 3.91 states/eV/f.u.

The structure in CIF format:
```
data_LaPrNiAg
_chemical_formula_sum 'La4 Pr4 Ni4 Ag4'
_cell_length_a 7.371
_cell_length_b 7.371
_cell_length_c 7.371
_cell_angle_alpha 90.00
_cell_angle_beta 90.00
_cell_angle_gamma 90.00
_symmetry_space_group_name_H-M 'P 1'
_symmetry_Int_Tables_number 1
_symmetry_space_group_name_Hall 'P 1'
loop_
_atom_site_label
_atom_site_fract_x
_atom_site_fract_y
_atom_site_fract_z
La1 0.000 0.000 0.000
La2 0.000 0.500 0.500
La3 0.500 0.000 0.500
La4 0.500 0.500 0.000
Pr1 0.000 0.000 0.500
Pr2 0.000 0.500 0.000
Pr3 0.500 0.000 0.000
Pr4 0.500 0.500 0.500
Ni1 0.250 0.250 0.250
Ni2 0.250 0.750 0.750
Ni3 0.750 0.250 0.750
Ni4 0.750 0.750 0.250
Ag1 0.250 0.250 0.750
Ag2 0.250 0.750 0.250
Ag3 0.750 0.250 0.250
Ag4 0.750 0.750 0.750
```



(8)
An optimized crystal structure of Ti2TlH, computed with GGA-PBE.

Output
The energy relative to the lowest polymorph listed for this composition is 2.694 eV/f.u. The total energy comes out at -0.3567 Ry per atom. The value obtained for the calculated volume is 262.8 Å³ per cell. Its space group is Fm-3m (225). As for the total magnetization: 0.45 μB/cell. The density of states at the Fermi level comes out at 3.62 states/eV/f.u.

The structure in CIF format:
```
data_Ti2TlH
_chemical_formula_sum 'Ti8 Tl4 H4'
_cell_length_a 6.405
_cell_length_b 6.405
_cell_length_c 6.405
_cell_angle_alpha 90.00
_cell_angle_beta 90.00
_cell_angle_gamma 90.00
_symmetry_space_group_name_H-M 'P 1'
_symmetry_Int_Tables_number 1
_symmetry_space_group_name_Hall 'P 1'
loop_
_atom_site_label
_atom_site_fract_x
_atom_site_fract_y
_atom_site_fract_z
Ti1 0.250 0.250 0.250
Ti2 0.250 0.250 0.750
Ti3 0.250 0.750 0.250
Ti4 0.250 0.750 0.750
Ti5 0.750 0.250 0.250
Ti6 0.750 0.250 0.750
Ti7 0.750 0.750 0.250
Ti8 0.750 0.750 0.750
Tl1 0.000 0.000 0.000
Tl2 0.000 0.500 0.500
Tl3 0.500 0.000 0.500
Tl4 0.500 0.500 0.000
H1 0.000 0.000 0.500
H2 0.000 0.500 0.000
H3 0.500 0.000 0.000
H4 0.500 0.500 0.500
```



(9)
An optimized crystal structure of TaTcGeAs2, computed with GGA-PBE.

Output
The total energy comes out at -0.4313 Ry per atom. The value obtained for the calculated volume is 102.3 Å³ per cell. Its space group is P4/mmm (123). The formation energy from the elements comes out at 655.8 kJ/mol of formula units. As for the total magnetization: 0.00 μB/cell. The density of states at the Fermi level comes out at 5.14 states/eV/f.u.

The structure in CIF format:
```
data_TaTcGeAs2
_chemical_formula_sum 'Ta1 Tc1 Ge1 As2'
_cell_length_a 4.783
_cell_length_b 4.783
_cell_length_c 4.474
_cell_angle_alpha 90.00
_cell_angle_beta 90.00
_cell_angle_gamma 90.00
_symmetry_space_group_name_H-M 'P 1'
_symmetry_Int_Tables_number 1
_symmetry_space_group_name_Hall 'P 1'
loop_
_atom_site_label
_atom_site_fract_x
_atom_site_fract_y
_atom_site_fract_z
Ta1 0.000 0.000 0.000
Tc1 0.500 0.500 0.000
Ge1 0.500 0.500 0.500
As1 0.000 0.500 0.500
As2 0.500 0.000 0.500
```



(10)
An optimized crystal structure of CeScIr, computed with GGA-PBE.

Output
The energy relative to the lowest polymorph listed for this composition is 0.000 eV/f.u. The total energy comes out at -0.5650 Ry per atom. The value obtained for the calculated volume is 200.4 Å³ per cell. Its space group is Amm2 (38). The formation energy from the elements comes out at -186.9 kJ/mol of formula units. As for the total magnetization: 1.94 μB/cell. The density of states at the Fermi level comes out at 6.34 states/eV/f.u.

The structure in CIF format:
```
data_CeScIr
_chemical_formula_sum 'Ce3 Sc3 Ir3'
_cell_length_a 4.010
_cell_length_b 7.605
_cell_length_c 7.605
_cell_angle_alpha 120.21
_cell_angle_beta 90.00
_cell_angle_gamma 90.00
_symmetry_space_group_name_H-M 'P 1'
_symmetry_Int_Tables_number 1
_symmetry_space_group_name_Hall 'P 1'
loop_
_atom_site_label
_atom_site_fract_x
_atom_site_fract_y
_atom_site_fract_z
Ce1 0.000 0.000 0.000
Ce2 0.000 0.427 0.852
Ce3 0.000 0.852 0.427
Sc1 0.500 0.182 0.425
Sc2 0.500 0.425 0.182
Sc3 0.500 0.668 0.668
Ir1 0.000 0.425 0.425
Ir2 0.500 0.092 0.759
Ir3 0.500 0.759 0.092
```



- Which of these has the lowest calculated volume?
  Co3Ir